[1]
An optimized crystal structure of PaTaMn2O8. Source: Alexandria, functional PBE+U.

Geometry as POSCAR:
```
PaTaMn2O8
1.0
5.832 0.370 0.000
-2.255 5.391 0.000
-1.788 -2.881 4.760
Pa Ta Mn O
1 1 2 8
Cartesian
0.000 0.000 0.000
-1.128 2.696 2.380
2.916 0.185 2.380
1.788 2.881 0.000
1.415 -0.639 1.539
0.256 2.226 0.957
0.093 -1.664 3.803
2.843 -1.526 3.220
3.321 3.535 0.957
4.417 1.009 1.539
2.989 1.896 3.220
-0.093 1.664 3.803
```

Summary:
The density is 7.02 Mg/m³. The calculation puts the raw total energy at -8.650 eV/atom.

---

[2]
An optimized crystal structure of PaTaMnO6. Source: Alexandria, functional PBE+U.

Geometry as POSCAR:
```
PaTaMnO6
1.0
5.589 0.000 0.000
-2.794 4.840 0.000
0.000 0.000 9.103
Pa Ta Mn O
2 2 2 12
Cartesian
0.000 3.227 2.276
2.794 1.613 6.827
2.794 1.613 2.276
0.000 3.227 6.827
0.000 0.000 0.000
0.000 0.000 4.551
1.913 3.080 1.221
4.506 1.644 1.221
-0.830 4.724 5.773
-1.711 3.197 7.881
1.083 1.644 3.330
3.676 3.080 3.330
0.830 4.724 7.881
3.624 0.116 3.330
-0.882 1.760 5.773
1.965 0.116 1.221
1.711 3.197 5.773
0.882 1.760 7.881
```

Summary:
The density is 7.59 Mg/m³. The calculation puts the raw total energy at -9.321 eV/atom.

---

[3]
An optimized crystal structure of PaMnTeO2. Source: Alexandria, functional PBE+U.

Geometry as POSCAR:
```
PaMnTeO2
1.0
-1.562 1.986 3.155
3.167 -4.474 4.383
4.362 6.070 -1.662
Pa Mn Te O
2 2 2 4
Cartesian
5.823 3.084 2.236
0.144 0.498 3.642
3.556 0.223 2.915
2.411 3.359 2.963
2.966 4.927 -0.338
3.001 -1.345 6.215
2.031 1.457 3.972
3.935 2.125 1.905
4.325 4.585 3.139
1.642 -1.003 2.738
```

Summary:
The density is 7.38 Mg/m³. The calculation puts the raw total energy at -8.029 eV/atom.

---

[4]
An optimized crystal structure of PaMnTe2O8. Source: Alexandria, functional PBE+U.

Geometry as POSCAR:
```
PaMnTe2O8
1.0
6.165 0.366 0.000
-2.406 5.688 0.000
-1.880 -3.027 5.044
Pa Mn Te O
1 1 2 8
Cartesian
-1.203 2.844 2.522
0.000 0.000 0.000
3.083 0.183 2.522
1.880 3.027 0.000
1.513 -0.510 1.554
0.268 2.342 1.008
0.101 -1.748 4.037
3.157 -1.531 3.490
3.491 3.713 1.008
4.652 0.877 1.554
3.008 1.898 3.490
-0.101 1.748 4.037
```

Summary:
The density is 6.13 Mg/m³. The calculation puts the raw total energy at -6.869 eV/atom.

---

[5]
An optimized crystal structure of ThPaMnO6. Source: Alexandria, functional PBE+U.

Geometry as POSCAR:
```
ThPaMnO6
1.0
5.936 0.000 0.000
-2.968 5.140 0.000
0.000 0.000 8.669
Th Pa Mn O
2 2 2 12
Cartesian
2.968 1.713 2.167
0.000 3.427 6.502
0.000 3.427 2.167
2.968 1.713 6.502
0.000 0.000 0.000
0.000 0.000 4.335
1.905 3.500 1.106
-0.889 1.741 1.106
1.952 0.100 5.441
3.857 3.399 7.563
0.889 1.741 3.229
-1.905 3.500 3.229
3.983 0.100 7.563
1.015 5.040 3.229
4.872 1.641 5.441
-1.015 5.040 1.106
2.079 3.399 5.441
1.063 1.641 7.563
```

Summary:
The density is 7.71 Mg/m³. The calculation puts the raw total energy at -8.769 eV/atom.

---

[6]
An optimized crystal structure of PaTiMn2O6. Source: Alexandria, functional PBE+U.

Geometry as POSCAR:
```
PaTiMn2O6
1.0
-3.650 1.919 -1.684
-3.249 -4.137 2.329
-0.561 3.137 4.790
Pa Ti Mn O
1 1 2 6
Cartesian
-4.186 0.699 2.507
-2.230 1.172 -1.029
-5.108 -0.237 -0.443
-3.764 3.399 0.788
-3.579 1.168 0.458
-3.873 2.814 2.971
-2.450 -0.214 3.308
-0.815 0.428 -0.376
-5.578 0.643 4.194
-5.284 -1.003 1.680
```

Summary:
The density is 5.46 Mg/m³. The calculation puts the raw total energy at -8.588 eV/atom.

---

[7]
An optimized crystal structure of PaTiMnO6. Source: Alexandria, functional PBE+U.

Geometry as POSCAR:
```
PaTiMnO6
1.0
5.441 0.000 0.000
-2.721 4.712 0.000
0.000 0.000 8.750
Pa Ti Mn O
2 2 2 12
Cartesian
0.000 3.142 2.188
2.721 1.571 6.563
2.721 1.571 2.188
0.000 3.142 6.563
0.000 0.000 0.000
0.000 0.000 4.375
1.907 3.048 1.142
4.407 1.537 1.142
-0.873 4.585 5.517
-1.686 3.176 7.608
1.034 1.537 3.233
3.534 3.048 3.233
0.873 4.585 7.608
3.593 0.127 3.233
-0.814 1.664 5.517
1.848 0.127 1.142
1.686 3.176 5.517
0.814 1.664 7.608
```

Summary:
The density is 6.36 Mg/m³. The calculation puts the raw total energy at -8.716 eV/atom.

---

[8]
An optimized crystal structure of PaTiMn2O8. Source: Alexandria, functional PBE+U.

Geometry as POSCAR:
```
PaTiMn2O8
1.0
5.778 0.377 0.000
-2.225 5.346 0.000
-1.777 -2.861 4.710
Pa Ti Mn O
1 1 2 8
Cartesian
0.000 0.000 0.000
-1.113 2.673 2.355
2.889 0.188 2.355
1.777 2.861 0.000
1.467 -0.509 1.515
0.245 2.216 0.960
0.101 -1.659 3.750
2.895 -1.396 3.196
3.308 3.507 0.960
4.312 0.886 1.515
2.883 1.773 3.196
-0.101 1.659 3.750
```

Summary:
The density is 5.74 Mg/m³. The calculation puts the raw total energy at -8.191 eV/atom.

---

[9]
An optimized crystal structure of PaMnTlO5. Source: Alexandria, functional PBE+U.

Geometry as POSCAR:
```
PaMnTlO5
1.0
-5.607 3.068 -0.002
0.230 -3.546 5.312
5.626 5.721 0.941
Pa Mn Tl O
2 2 2 10
Cartesian
2.813 2.861 0.471
0.000 0.000 0.000
-2.367 2.421 1.903
2.617 2.822 4.349
-0.291 0.069 3.792
0.541 5.174 2.459
1.243 -1.670 5.189
-0.994 6.913 1.062
-4.165 2.438 1.584
4.415 2.805 4.667
-1.922 3.938 0.989
2.172 1.305 5.263
-1.957 2.315 3.677
2.207 2.928 2.575
-1.398 0.965 1.383
1.648 4.278 4.868
```

Summary:
The density is 6.76 Mg/m³. The calculation puts the raw total energy at -7.594 eV/atom.

---

[10]
An optimized crystal structure of Pa3Mn4TlO12. Source: Alexandria, functional PBE+U.

Geometry as POSCAR:
```
Pa3Mn4TlO12
1.0
7.502 -0.267 -0.371
-2.067 7.217 -0.371
-2.067 -2.643 6.726
Pa Mn Tl O
3 4 1 12
Cartesian
3.224 3.079 -0.371
2.211 -1.581 3.553
-2.067 2.809 2.802
5.957 -1.188 2.992
-2.589 1.093 6.161
1.684 6.556 -0.177
1.684 2.154 2.992
0.000 0.000 0.000
1.684 0.537 4.155
5.384 3.072 0.248
-2.016 5.047 2.992
1.684 -1.659 5.736
0.248 6.082 1.142
-0.883 0.037 6.130
5.843 0.541 1.981
3.120 5.155 -0.146
-2.474 2.601 4.842
4.251 -1.494 4.003
3.253 2.543 1.828
0.115 3.381 2.992
```

Summary:
The density is 6.30 Mg/m³. The calculation puts the raw total energy at -8.519 eV/atom.

---

[11]
An optimized crystal structure of PaMn2TlO6. Source: Alexandria, functional PBE+U.

Geometry as POSCAR:
```
PaMn2TlO6
1.0
5.768 0.088 -0.108
2.959 4.844 -0.021
2.824 1.675 5.011
Pa Mn Tl O
1 2 1 6
Cartesian
8.681 4.936 2.680
5.837 3.310 2.280
2.819 1.601 4.584
2.882 1.587 0.582
5.268 1.712 1.309
4.594 4.503 1.307
7.675 3.786 1.106
6.557 4.796 3.446
6.676 1.945 3.509
3.856 3.211 3.724
```

Summary:
The density is 7.61 Mg/m³. The calculation puts the raw total energy at -7.660 eV/atom.

---

[12]
An optimized crystal structure of PaMn2Tl3O9. Source: Alexandria, functional PBE+U.

Geometry as POSCAR:
```
PaMn2Tl3O9
1.0
5.704 0.000 0.000
-2.852 4.940 0.000
0.000 0.000 7.155
Pa Mn Tl O
1 2 3 9
Cartesian
0.000 0.000 3.578
0.000 3.293 1.147
2.852 1.647 6.009
0.000 3.293 5.111
0.000 0.000 0.000
2.852 1.647 2.045
4.214 0.860 4.881
2.852 3.220 4.881
1.490 0.860 4.881
1.362 4.080 2.274
0.000 1.720 2.274
-1.362 4.080 2.274
2.852 0.000 0.000
-1.426 2.470 0.000
1.426 2.470 0.000
```

Summary:
The density is 9.04 Mg/m³. The calculation puts the raw total energy at -6.544 eV/atom.

---

[13]
An optimized crystal structure of PaMn3Tl4O12. Source: Alexandria, functional PBE+U.

Geometry as POSCAR:
```
PaMn3Tl4O12
1.0
6.986 0.000 0.000
-2.329 6.587 0.000
-2.329 -3.293 5.704
Pa Mn Tl O
1 3 4 12
Cartesian
0.000 0.000 0.000
2.329 -1.647 2.852
2.329 3.293 0.000
-2.329 1.647 2.852
1.164 1.647 2.852
-1.164 -1.647 2.852
3.493 0.000 0.000
-1.164 3.293 0.000
-1.164 0.823 4.278
3.426 -2.423 4.196
1.231 -0.871 1.508
3.493 2.470 1.426
3.426 4.845 0.000
1.231 1.741 0.000
3.493 0.000 2.852
-1.164 3.293 2.852
1.164 -0.823 4.278
-3.426 2.423 4.196
1.164 4.117 1.426
-1.231 0.871 1.508
```

Summary:
The density is 8.89 Mg/m³. The calculation puts the raw total energy at -6.340 eV/atom.

---

[14]
An optimized crystal structure of TmPaMn2O8. Source: Alexandria, functional PBE+U.

Geometry as POSCAR:
```
TmPaMn2O8
1.0
5.126 0.000 0.000
0.000 5.126 0.000
-2.563 -2.563 5.554
Tm Pa Mn O
1 1 2 8
Cartesian
0.000 0.000 0.000
2.563 0.000 2.777
2.563 2.563 0.000
0.000 2.563 2.777
3.439 3.792 0.879
1.687 1.334 0.879
1.488 1.666 3.637
-1.488 -1.666 3.637
4.229 1.075 1.917
0.897 4.052 1.917
-1.229 0.876 4.675
1.229 -0.876 4.675
```

Summary:
The density is 7.26 Mg/m³. The calculation puts the raw total energy at -8.044 eV/atom.

---

[15]
An optimized crystal structure of TmPaMnO6. Source: Alexandria, functional PBE+U.

Geometry as POSCAR:
```
TmPaMnO6
1.0
-1.417 3.669 2.736
1.524 -2.642 4.332
3.418 3.184 -2.500
Tm Pa Mn O
1 1 1 6
Cartesian
1.447 1.134 3.423
2.787 1.242 -0.222
-0.709 1.834 1.368
2.413 3.107 3.232
2.784 5.043 0.827
0.047 3.642 1.288
1.138 1.186 1.240
4.040 2.300 1.250
2.045 3.181 -0.965
```

Summary:
The density is 7.85 Mg/m³. The calculation puts the raw total energy at -8.488 eV/atom.

---

[16]
An optimized crystal structure of UPaMn2O8. Source: Alexandria, functional PBE+U.

Geometry as POSCAR:
```
UPaMn2O8
1.0
-1.598 1.406 -5.616
-4.663 -2.838 2.504
1.391 4.946 3.110
U Pa Mn O
1 1 2 8
Cartesian
-3.201 0.696 2.029
0.000 0.000 0.000
-1.669 2.818 -2.031
-3.131 -0.716 -1.556
-0.389 1.892 -0.937
-2.493 0.008 0.226
0.222 4.101 1.064
-0.468 4.312 -1.892
-4.472 0.272 -2.709
-2.286 2.132 -3.717
-3.533 2.936 -1.578
-2.997 2.647 1.415
```

Summary:
The density is 7.05 Mg/m³. The calculation puts the raw total energy at -8.873 eV/atom.

---

[17]
An optimized crystal structure of PaMnVO6. Source: Alexandria, functional PBE+U.

Geometry as POSCAR:
```
PaMnVO6
1.0
-1.319 3.847 -3.586
0.709 -5.116 -1.649
-8.732 -1.668 1.422
Pa Mn V O
2 2 2 12
Cartesian
-2.150 -2.546 -1.940
-7.192 -0.392 -1.874
0.000 0.000 0.000
-4.366 -0.834 0.711
-2.826 0.442 -2.585
-6.516 -3.379 -1.229
-1.607 -0.882 -3.232
-2.209 1.770 -3.816
-5.300 -4.701 -1.887
-7.133 -4.707 0.002
-3.443 -0.894 -1.363
-4.016 -0.121 -3.973
-7.703 -3.953 -2.614
-4.042 1.763 -1.927
-5.326 -2.816 0.159
-1.639 1.016 -1.200
-5.899 -2.044 -2.451
-7.735 -2.055 -0.581
```

Summary:
The density is 6.27 Mg/m³. The calculation puts the raw total energy at -8.436 eV/atom.

---

[18]
An optimized crystal structure of PaMn2VO8. Source: Alexandria, functional PBE+U.

Geometry as POSCAR:
```
PaMn2VO8
1.0
-2.644 0.688 -3.742
3.633 -0.650 -2.798
-1.320 -6.360 -0.237
Pa Mn V O
1 2 1 8
Cartesian
-0.660 -3.180 -0.119
-0.521 -4.873 -3.452
0.190 -1.449 -3.325
0.000 0.000 0.000
2.087 -1.801 -3.035
0.706 0.027 -4.649
-1.687 -0.996 -3.610
-2.418 -4.521 -3.741
-1.037 -6.348 -2.127
1.356 -5.325 -3.166
0.022 -3.155 -4.602
-0.353 -3.167 -2.174
```

Summary:
The density is 6.19 Mg/m³. The calculation puts the raw total energy at -8.111 eV/atom.

---

[19]
An optimized crystal structure of PaMnWO6. Source: Alexandria, functional PBE+U.

Geometry as POSCAR:
```
PaMnWO6
1.0
-2.784 -2.338 4.271
2.790 -3.235 -3.635
7.388 0.595 5.142
Pa Mn W O
2 2 2 12
Cartesian
2.779 -2.787 0.286
4.615 -2.191 5.492
0.000 0.000 0.000
3.694 0.297 2.571
0.921 -2.488 2.921
6.473 -2.490 2.857
0.937 -3.539 1.197
-0.784 -3.297 3.641
6.477 -3.574 1.152
8.177 -1.681 2.137
2.637 -1.717 2.189
1.762 -4.138 3.727
7.337 -4.144 3.629
0.916 -1.405 4.625
5.632 -0.840 2.051
0.056 -0.835 2.149
4.756 -3.262 3.589
6.457 -1.439 4.581
```

Summary:
The density is 7.65 Mg/m³. The calculation puts the raw total energy at -8.468 eV/atom.